[1]
The following is a DFT calculation (GGA-PBE) of a relaxed SeS crystal.

Summary:
The value obtained for the energy relative to the lowest polymorph listed for this composition is 0 meV per atom. Its uncorrected formation energy is 4.3 kJ per mole of atoms.

abc: 5.4811 5.4811 5.0933
angles: 93.59 93.59 116.99
Closest atoms and distances in Å follow each position.
Element x y z (fractional)
Se1 0.1779 0.1779 0.4187  1 Se 2.29, 1 S 2.33
Se2 0.8221 0.8221 0.5813  1 Se 2.29, 1 S 2.33
S1 0.0231 0.6604 0.8973  1 S 1.98
S2 0.3396 0.9769 0.1027  1 S 1.98



[2]
The following is a DFT calculation (GGA-PBE) of a relaxed CsKCrBr6 crystal.

Summary:
Its uncorrected formation energy is -102.4 kJ per mole of atoms.

abc: 7.9197 7.9197 7.0630
angles: 90.02 90.02 120.10
Closest atoms and distances in Å follow each position.
Element x y z (fractional)
Cs1 0.0000 0.0000 0.0000  6 Br 3.67
K1 0.6663 0.3337 0.5000  6 Br 3.30
Cr1 0.3334 0.6666 0.5000  6 Br 2.49
Br1 0.0743 0.4126 0.2958  1 Cr 2.49
Br2 0.0753 0.6609 0.7065  1 Cr 2.49
Br3 0.3394 0.4145 0.7057  1 Cr 2.49
Br4 0.3391 0.9247 0.2935  1 Cr 2.49
Br5 0.5855 0.6606 0.2943  1 Cr 2.49
Br6 0.5874 0.9257 0.7042  1 Cr 2.49



[3]
The following is a DFT calculation (GGA-PBE) of a relaxed SrLi2Cd2 crystal.

Summary:
The value obtained for the energy relative to the lowest polymorph listed for this composition is 74 meV per atom. The formation enthalpy at 0 K is -0.132 eV/atom.

abc: 8.4008 8.4008 3.6777
angles: 90.00 90.00 90.00
Closest atoms and distances in Å follow each position.
Element x y z (fractional)
Sr1 0.0000 0.0000 0.0000  4 Cd 3.32, 8 Li 3.65, 2 Sr 3.68
Sr2 0.5000 0.5000 0.0000  4 Cd 3.32, 8 Li 3.65, 2 Sr 3.68
Li1 0.1620 0.3380 0.5000  6 Cd 3.05-3.12
Li2 0.3380 0.8380 0.5000  6 Cd 3.05-3.12
Li3 0.6620 0.1620 0.5000  6 Cd 3.05-3.12
Li4 0.8380 0.6620 0.5000  6 Cd 3.05-3.12
Cd1 0.1255 0.6255 0.0000  1 Cd 2.98, 6 Li 3.05-3.12, 2 Sr 3.32
Cd2 0.3745 0.1255 0.0000  1 Cd 2.98, 6 Li 3.05-3.12, 2 Sr 3.32
Cd3 0.6255 0.8745 0.0000  1 Cd 2.98, 6 Li 3.05-3.12, 2 Sr 3.32
Cd4 0.8745 0.3745 0.0000  1 Cd 2.98, 6 Li 3.05-3.12, 2 Sr 3.32



[4]
The following is a DFT calculation (GGA-PBE) of a relaxed MoAs2Pd crystal.

Summary:
The formation enthalpy at 0 K is 0.181 eV/atom.

abc: 6.8961 6.8961 6.8961
angles: 131.40 131.40 71.18
Closest atoms and distances in Å follow each position.
Element x y z (fractional)
Mo1 0.0000 0.0000 0.0000  4 As 2.43
Mo2 0.7500 0.2500 0.5000  4 As 2.43
As1 0.1182 0.6250 0.9932  2 Mo 2.43, 2 Pd 2.47
As2 0.3750 0.3682 0.4932  2 Mo 2.43, 2 Pd 2.47
As3 0.6318 0.1250 0.0068  2 Mo 2.43, 2 Pd 2.47
As4 0.8750 0.8818 0.5068  2 Mo 2.43, 2 Pd 2.47
Pd1 0.2500 0.7500 0.5000  4 As 2.47
Pd2 0.5000 0.5000 0.0000  4 As 2.47



[5]
The following is a DFT calculation (GGA-PBE) of a relaxed LaPm2SmEr2 crystal.

Summary:
The formation enthalpy at 0 K is 0.264 eV/atom.

abc: 6.7371 17.5314 3.4241
angles: 90.00 90.00 90.00
Closest atoms and distances in Å follow each position.
Element x y z (fractional)
La1 0.0000 0.0000 0.0000  2 Pm 3.27, 2 La 3.42, 2 Er 3.48
La2 0.5000 0.5000 0.5000  2 Pm 3.27, 2 La 3.42, 2 Er 3.48
Pm1 0.2274 0.3456 0.5000  1 La 3.27, 4 Er 3.36-3.43, 2 Pm 3.42, 2 Sm 3.55
Pm2 0.2726 0.8456 0.0000  1 La 3.27, 4 Er 3.36-3.43, 2 Pm 3.42, 2 Sm 3.55
Pm3 0.7274 0.1544 0.0000  1 La 3.27, 4 Er 3.36-3.43, 2 Pm 3.42, 2 Sm 3.55
Pm4 0.7726 0.6544 0.5000  1 La 3.27, 4 Er 3.36-3.43, 2 Pm 3.42, 2 Sm 3.55
Sm1 0.0000 0.5000 0.0000  2 Sm 3.42, 4 Pm 3.55, 4 La 3.78
Sm2 0.5000 0.0000 0.5000  2 Sm 3.42, 4 Pm 3.55, 4 La 3.78
Er1 0.2326 0.1775 0.0000  4 Pm 3.36-3.43, 2 Er 3.42, 1 La 3.48
Er2 0.2674 0.6775 0.5000  4 Pm 3.36-3.43, 2 Er 3.42, 1 La 3.48
Er3 0.7326 0.3225 0.5000  4 Pm 3.36-3.43, 2 Er 3.42, 1 La 3.48
Er4 0.7674 0.8225 0.0000  4 Pm 3.36-3.43, 2 Er 3.42, 1 La 3.48



[6]
The following is a DFT calculation (GGA-PBE) of a relaxed Cr3RhC crystal.

Summary:
The value obtained for the energy relative to the lowest polymorph listed for this composition is 2328 meV per atom. The formation enthalpy at 0 K is 2.334 eV/atom.

abc: 4.7080 4.7080 4.7080
angles: 90.00 90.00 90.00
Closest atoms and distances in Å follow each position.
Element x y z (fractional)
Cr1 0.0000 0.0000 0.5000  2 Rh 2.35
Cr2 0.0000 0.5000 0.0000  2 Rh 2.35
Cr3 0.5000 0.0000 0.0000  2 Rh 2.35
Rh1 0.0000 0.0000 0.0000  6 Cr 2.35
C1 0.5000 0.5000 0.5000  12 Cr 3.33



[7]
The following is a DFT calculation (GGA-PBE) of a relaxed Rb2Na3IrF12 crystal.

Summary:
Its uncorrected formation energy is -192.6 kJ per mole of atoms.

abc: 8.1370 8.1370 8.1370
angles: 56.28 56.28 56.28
Closest atoms and distances in Å follow each position.
Element x y z (fractional)
Rb1 0.1007 0.1007 0.1007  3 F 2.75
Rb2 0.8993 0.8993 0.8993  3 F 2.75
Na1 0.0000 0.5000 0.5000  6 F 2.26-2.42
Na2 0.5000 0.0000 0.5000  6 F 2.26-2.42
Na3 0.5000 0.5000 0.0000  6 F 2.26-2.42
Ir1 0.5000 0.5000 0.5000  6 F 1.90
F1 0.1448 0.1448 0.5907  2 Na 2.26
F2 0.1448 0.5907 0.1448  2 Na 2.26
F3 0.2111 0.5655 0.5655  1 Ir 1.90
F4 0.4093 0.8552 0.8552  2 Na 2.26
F5 0.4345 0.4345 0.7889  1 Ir 1.90
F6 0.4345 0.7889 0.4345  1 Ir 1.90
F7 0.5655 0.2111 0.5655  1 Ir 1.90
F8 0.5655 0.5655 0.2111  1 Ir 1.90
F9 0.5907 0.1448 0.1448  2 Na 2.26
F10 0.7889 0.4345 0.4345  1 Ir 1.90
F11 0.8552 0.4093 0.8552  2 Na 2.26
F12 0.8552 0.8552 0.4093  2 Na 2.26



[8]
The following is a DFT calculation (GGA-PBE) of a relaxed Tb3DyRh3 crystal.

Summary:
The formation enthalpy at 0 K is -0.690 eV/atom.

abc: 7.0850 7.0850 6.7209
angles: 98.82 98.82 84.67
Closest atoms and distances in Å follow each position.
Element x y z (fractional)
Tb1 0.1885 0.8115 0.0000  4 Rh 2.76-2.87
Tb2 0.2737 0.7263 0.5000  4 Rh 2.81-2.98
Tb3 0.3036 0.3036 0.9957  5 Rh 2.87-3.03
Tb4 0.6964 0.6964 0.0043  5 Rh 2.87-3.03
Tb5 0.7263 0.2737 0.5000  4 Rh 2.81-2.98
Tb6 0.8115 0.1885 0.0000  4 Rh 2.76-2.87
Dy1 0.2205 0.2205 0.4561  4 Rh 2.71-2.87
Dy2 0.7795 0.7795 0.5439  4 Rh 2.71-2.87
Rh1 0.0019 0.5035 0.2446  4 Tb 2.81-3.03, 2 Dy 2.84-3.09, 1 Rh 3.10
Rh2 0.0539 0.0539 0.7160  2 Dy 2.71-2.87, 5 Tb 2.76-2.98, 1 Rh 2.89
Rh3 0.4965 0.9981 0.7554  4 Tb 2.81-3.03, 2 Dy 2.84-3.09, 1 Rh 3.10
Rh4 0.5035 0.0019 0.2446  4 Tb 2.81-3.03, 2 Dy 2.84-3.09, 1 Rh 3.10
Rh5 0.9461 0.9461 0.2840  2 Dy 2.71-2.87, 5 Tb 2.76-2.98, 1 Rh 2.89
Rh6 0.9981 0.4965 0.7554  4 Tb 2.81-3.03, 2 Dy 2.84-3.09, 1 Rh 3.10